Computed, not measured: crystalline LaCd2CoHg at its relaxed geometry at the PBE level of DFT.

POSCAR file:
```
LaCd2CoHg
1.0
5.126 0.000 0.000
0.000 5.126 0.000
0.000 0.000 4.922
Cd Hg Co La
2 1 1 1
Cartesian
0.000 2.563 0.000 Cd
2.563 0.000 0.000 Cd
2.563 2.563 2.461 Hg
0.000 0.000 0.000 Co
0.000 0.000 2.461 La
```

Output
Distance to the lowest polymorph of the same formula ... 0 meV per atom

=====

Computed, not measured: crystalline ScAu2 at its relaxed geometry at the PBE level of DFT.

POSCAR file:
```
ScAu2
1.0
-2.177 -0.264 3.675
3.456 -1.628 1.930
1.108 3.421 0.902
Sc Au
1 2
Cartesian
0.000 0.000 0.000 Sc
2.282 0.897 1.416 Au
-0.535 1.579 2.289 Au
```

=====

Computed, not measured: crystalline Pm7Tm3In at its relaxed geometry at the PBE level of DFT.

POSCAR file:
```
Pm7Tm3In
1.0
-4.279 -7.394 -0.442
4.010 -2.630 5.171
-5.994 3.375 1.556
Tm Pm In
3 7 1
Cartesian
-2.327 -6.714 5.603 Tm
-1.336 -7.086 2.241 Tm
-4.331 -5.400 3.018 Tm
0.208 -1.436 3.918 Pm
0.388 -4.944 4.360 Pm
-2.828 0.196 4.664 Pm
-1.585 -3.650 1.815 Pm
-4.805 1.493 2.115 Pm
-1.850 -0.171 1.348 Pm
-2.560 -3.284 5.125 Pm
-4.628 -2.029 2.557 In
```

=====

Computed, not measured: crystalline La2Be3PdPt4 at its relaxed geometry at the PBE level of DFT.

POSCAR file:
```
La2Be3PdPt4
1.0
-2.415 3.218 -0.587
-2.579 -2.322 -2.119
-5.205 -2.293 8.849
Pt Be La Pd
4 3 2 1
Cartesian
-4.686 0.077 5.620 Pt
-3.016 -1.921 1.876 Pt
0.000 0.000 0.000 Pt
-2.497 0.448 -1.353 Pt
-2.602 -1.146 4.424 Be
-1.861 -1.413 -0.088 Be
-5.841 -0.432 7.584 Be
-2.504 1.038 1.910 La
-5.198 -2.883 5.586 La
-5.100 -0.698 3.072 Pd
```

=====

For reference, mass density by record: 8.00; 10.73; 7.38; 11.38 g cm⁻³.
For reference, density of states at the Fermi level by record: 0.63; 0.67; 1.40; 0.26 states/eV/atom.
For reference, ΔH_f (0 K) by record: -0.135; -0.363; 0.110; -0.834 eV per atom.